(1)
! H3PtO GGA-PBE relaxed; values from VASP
! crystal system	cubic
! space group	Pm-3m (221)
&SYSTEM
  ibrav = 0, nat = 5, ntyp = 3
/
ATOMIC_SPECIES
H 1.01 H.upf
Pt 195.08 Pt.upf
O 16.00 O.upf
ATOMIC_POSITIONS angstrom
H 0.000 0.000 1.731
H 0.000 1.731 0.000
H 1.731 0.000 0.000
Pt 0.000 0.000 0.000
O 1.731 1.731 1.731
CELL_PARAMETERS angstrom
3.462 0.000 0.000
0.000 3.462 0.000
0.000 0.000 3.462

---

(2)
! AcPu2Si GGA-PBE relaxed; values from VASP
! crystal system	tetragonal
! space group	P4/mmm (123)
&SYSTEM
  ibrav = 0, nat = 4, ntyp = 3
/
ATOMIC_SPECIES
Ac 227.00 Ac.upf
Pu 244.00 Pu.upf
Si 28.09 Si.upf
ATOMIC_POSITIONS angstrom
Ac 0.000 0.000 0.000
Pu 1.900 1.900 2.367
Pu 1.900 1.900 5.136
Si 0.000 0.000 3.752
CELL_PARAMETERS angstrom
3.800 0.000 0.000
0.000 3.800 0.000
0.000 0.000 7.504

---

Respective E_tot values: -3.6179 -9.6311 eV per atom.